(1)
This record from Alexandria via LeMat-Bulk describes Y2Cd after structural relaxation. The functional is PBE.

Cell and atoms, written as extended XYZ:
```
6
Lattice="5.315 0.000 0.000 -2.658 4.603 0.000 0.000 0.000 6.953" Properties=species:S:1:pos:R:3 pbc="T T T"
Y 0.000 0.000 0.000
Y 0.000 0.000 3.477
Y 0.000 3.069 1.738
Y 2.658 1.534 5.215
Cd 0.000 3.069 5.215
Cd 2.658 1.534 1.738
```

Mass density: 5.67 g/cm³
DFT total energy: -4.8289 eV/atom
Symmetry: P6_3/mmc (194)
Energy relative to the elements: -215 meV/atom
Spin magnetization: 0.0 μB/f.u.

---

(2)
This record from Alexandria via LeMat-Bulk describes NaLi2TcH5 after structural relaxation. The functional is PBE.

Cell and atoms, written as extended XYZ:
```
9
Lattice="-1.733 2.587 4.771 1.733 -2.587 4.771 1.733 2.587 -4.771" Properties=species:S:1:pos:R:3 pbc="T T T"
Na 0.000 0.000 0.000
Li 1.733 0.000 2.674
Li 0.000 2.587 2.097
Tc 0.000 0.000 4.771
H 1.733 1.406 -1.334
H 1.733 1.406 1.334
H 0.000 2.587 0.000
H 0.000 1.181 3.437
H 0.000 1.181 6.104
```

Mass density: 2.72 g/cm³
DFT total energy: -3.7838 eV/atom
Symmetry: Immm (71)
Spin magnetization: 1.0 μB/f.u.

---

(3)
This record from Alexandria via LeMat-Bulk describes KLi2Tl3 after structural relaxation. The functional is PBE.

Cell and atoms, written as extended XYZ:
```
12
Lattice="6.327 -4.611 0.000 6.327 4.611 0.000 0.000 0.000 5.861" Properties=species:S:1:pos:R:3 pbc="T T T"
K 6.327 3.120 4.395
K 6.327 -3.120 1.465
Li 3.947 0.000 0.000
Li 3.947 0.000 2.930
Li 8.707 0.000 0.000
Li 8.707 0.000 2.930
Tl 3.854 2.664 1.465
Tl 8.800 2.664 1.465
Tl 6.327 0.809 1.465
Tl 6.327 -0.809 4.395
Tl 3.854 -2.664 4.395
Tl 8.800 -2.664 4.395
```

Mass density: 6.47 g/cm³
DFT total energy: -2.1437 eV/atom
Symmetry: Cmcm (63)
Energy relative to the elements: -140 meV/atom
Spin magnetization: 0.0 μB/f.u.

---

(4)
This record from Alexandria via LeMat-Bulk describes YIn2PtI after structural relaxation. The functional is PBE.

Cell and atoms, written as extended XYZ:
```
5
Lattice="5.158 0.000 0.000 0.000 5.158 0.000 0.000 0.000 5.697" Properties=species:S:1:pos:R:3 pbc="T T T"
Y 0.000 0.000 0.000
In 0.000 2.579 2.848
In 2.579 0.000 2.848
Pt 2.579 2.579 2.848
I 2.579 2.579 0.000
```

Mass density: 7.02 g/cm³
DFT total energy: -3.8639 eV/atom
Formation energy without anion corrections: 42 meV per atom
Symmetry: P4/mmm (123)
Spin magnetization: 0.0 μB/f.u.

---

(5)
This record from Alexandria via LeMat-Bulk describes La4ErTh3As8 after structural relaxation. The functional is PBE.

Cell and atoms, written as extended XYZ:
```
16
Lattice="4.284 2.474 7.036 -4.284 2.474 7.036 0.000 -4.947 7.036" Properties=species:S:1:pos:R:3 pbc="T T T"
La 0.000 0.000 0.000
La -2.142 -1.237 7.036
La -2.142 1.237 14.072
La 0.000 2.474 7.036
Er 0.000 0.000 10.554
Th -4.284 0.000 10.554
Th -2.142 1.237 3.518
Th 2.142 1.237 3.518
As 0.000 0.000 5.219
As -2.119 -1.223 12.233
As 0.000 -2.447 8.875
As -2.119 1.223 8.875
As 2.119 -1.223 12.233
As 0.000 2.447 12.233
As 2.119 1.223 8.875
As 0.000 0.000 15.889
```

Mass density: 7.49 g/cm³
DFT total energy: -6.7526 eV/atom
Symmetry: R-3m (166)
Energy relative to the elements: -1520 meV/atom
Spin magnetization: 0.0 μB/f.u.

---

(6)
This record from Alexandria via LeMat-Bulk describes CsCd3Pt2 after structural relaxation. The functional is PBE.

Cell and atoms, written as extended XYZ:
```
12
Lattice="6.052 -4.443 0.000 6.052 4.443 0.000 0.000 0.000 5.864" Properties=species:S:1:pos:R:3 pbc="T T T"
Cs 6.052 3.187 4.398
Cs 6.052 -3.187 1.466
Cd 3.462 2.376 1.466
Cd 6.052 0.524 1.466
Cd 8.642 2.376 1.466
Cd 3.462 -2.376 4.398
Cd 6.052 -0.524 4.398
Cd 8.642 -2.376 4.398
Pt 3.731 0.000 0.000
Pt 3.731 0.000 2.932
Pt 8.373 0.000 0.000
Pt 8.373 0.000 2.932
```

Mass density: 9.06 g/cm³
DFT total energy: -2.8994 eV/atom
Symmetry: Cmcm (63)
Energy relative to the elements: -286 meV/atom
Spin magnetization: 0.0 μB/f.u.

---

(7)
This record from Alexandria via LeMat-Bulk describes Mn2BeAs after structural relaxation. The functional is PBE.

Cell and atoms, written as extended XYZ:
```
16
Lattice="3.502 0.000 0.000 0.000 3.502 0.000 0.000 0.000 16.158" Properties=species:S:1:pos:R:3 pbc="T T T"
Mn 0.616 0.876 2.020
Mn 0.876 2.367 6.059
Mn 0.876 2.886 14.138
Mn 1.135 0.876 10.099
Mn 2.367 2.627 10.099
Mn 2.627 0.616 14.138
Mn 2.627 1.135 6.059
Mn 2.886 2.627 2.020
Be 0.000 0.000 0.000
Be 0.000 1.751 4.040
Be 1.751 0.000 12.119
Be 1.751 1.751 8.079
As 0.000 0.000 8.079
As 0.000 1.751 12.119
As 1.751 0.000 4.040
As 1.751 1.751 0.000
```

Mass density: 6.50 g/cm³
DFT total energy: -6.3654 eV/atom
Symmetry: I-42d (122)
Energy relative to the elements: 313 meV/atom
Spin magnetization: 0.0 μB/f.u.

---

(8)
This record from Alexandria via LeMat-Bulk describes Pm2CuGe4Pd3 after structural relaxation. The functional is PBE.

Cell and atoms, written as extended XYZ:
```
10
Lattice="4.287 0.000 0.000 0.000 4.287 0.000 0.000 0.000 10.317" Properties=species:S:1:pos:R:3 pbc="T T T"
Pm 0.000 2.144 2.512
Pm 2.144 0.000 7.806
Cu 2.144 2.144 0.000
Ge 0.000 0.000 5.159
Ge 0.000 2.144 8.975
Ge 2.144 0.000 1.342
Ge 2.144 2.144 5.159
Pd 0.000 0.000 0.000
Pd 0.000 2.144 6.508
Pd 2.144 0.000 3.809
```

Mass density: 8.44 g/cm³
DFT total energy: -5.4980 eV/atom
Symmetry: P-4m2 (115)
Energy relative to the elements: -733 meV/atom
Spin magnetization: 0.0 μB/f.u.

---

(9)
This record from Alexandria via LeMat-Bulk describes La4Pm2PrTm2 after structural relaxation. The functional is PBE.

Cell and atoms, written as extended XYZ:
```
9
Lattice="7.775 -2.603 0.000 7.775 2.603 0.000 -2.555 0.000 7.737" Properties=species:S:1:pos:R:3 pbc="T T T"
La 0.006 0.000 2.550
La 2.583 0.000 5.186
La 10.412 0.000 2.551
La 12.988 0.000 5.187
Pm 5.185 0.000 2.552
Pm 7.810 0.000 5.185
Pr 7.775 0.000 0.000
Tm 0.071 0.000 7.731
Tm 12.923 0.000 0.006
```

Mass density: 7.02 g/cm³
DFT total energy: -4.7457 eV/atom
Symmetry: C2/m (12)
Energy relative to the elements: 25 meV/atom
Spin magnetization: 0.0 μB/f.u.

---

(10)
This record from Alexandria via LeMat-Bulk describes BaAsN after structural relaxation. The functional is PBE.

Cell and atoms, written as extended XYZ:
```
6
Lattice="2.717 1.569 7.012 -2.717 1.569 7.012 0.000 -3.137 7.012" Properties=species:S:1:pos:R:3 pbc="T T T"
Ba 0.000 0.000 0.000
Ba 0.000 0.000 9.981
As 0.000 0.000 15.572
As 0.000 0.000 18.004
N 0.000 0.000 5.982
N 0.000 0.000 7.136
```

Mass density: 4.19 g/cm³
DFT total energy: -5.5595 eV/atom
Formation energy without anion corrections: -594 meV per atom
Symmetry: R3m (160)
Spin magnetization: 0.0 μB/f.u.

---

(11)
This record from Alexandria via LeMat-Bulk describes NaCd2SnCl8 after structural relaxation. The functional is PBE.

Cell and atoms, written as extended XYZ:
```
12
Lattice="6.228 0.000 0.000 0.000 8.064 0.000 -0.020 0.000 6.459" Properties=species:S:1:pos:R:3 pbc="T T T"
Na 0.000 0.000 0.000
Cd 3.104 1.951 3.230
Cd 3.104 6.113 3.230
Sn 0.000 4.032 0.000
Cl 1.385 2.138 5.320
Cl 1.385 5.926 5.320
Cl 1.743 4.032 2.092
Cl 1.754 0.000 2.158
Cl 4.455 0.000 4.301
Cl 4.466 4.032 4.367
Cl 4.824 2.138 1.139
Cl 4.824 5.926 1.139
```

Mass density: 3.33 g/cm³
DFT total energy: -2.9290 eV/atom
Formation energy without anion corrections: -1102 meV per atom
Symmetry: P2/m (10)
Spin magnetization: 0.0 μB/f.u.

---

(12)
This record from Alexandria via LeMat-Bulk describes Cs3Er2Cl9 after structural relaxation. The functional is PBE.

Cell and atoms, written as extended XYZ:
```
28
Lattice="6.645 3.836 6.331 -6.645 3.836 6.331 0.000 -7.673 6.331" Properties=species:S:1:pos:R:3 pbc="T T T"
Cs -4.391 0.067 7.913
Cs -2.254 -3.769 11.079
Cs 2.137 -3.836 7.913
Cs -2.137 3.836 11.079
Cs 2.254 3.769 7.913
Cs 4.391 -0.067 11.079
Er 0.000 0.000 2.879
Er 0.000 0.000 6.617
Er 0.000 0.000 12.375
Er 0.000 0.000 16.113
Cl -5.564 -1.847 10.934
Cl -1.182 -5.742 8.059
Cl -1.996 0.000 4.748
Cl -1.182 -1.931 7.768
Cl 0.998 -1.729 4.748
Cl -4.381 3.895 8.059
Cl 0.998 1.729 4.748
Cl -1.081 1.990 7.768
Cl -2.263 0.059 11.224
Cl 2.263 -0.059 7.768
Cl 1.081 -1.990 11.224
Cl -0.998 -1.729 14.244
Cl 4.381 -3.895 10.934
Cl -0.998 1.729 14.244
Cl 1.182 1.931 11.224
Cl 1.996 0.000 14.244
Cl 1.182 5.742 10.934
Cl 5.564 1.847 8.059
```

Mass density: 3.61 g/cm³
DFT total energy: -4.2464 eV/atom
Formation energy without anion corrections: -2225 meV per atom
Symmetry: R-3c (167)
Spin magnetization: 0.0 μB/f.u.

---

(13)
This record from Alexandria via LeMat-Bulk describes MgCr2Tc after structural relaxation. The functional is PBE.

Cell and atoms, written as extended XYZ:
```
8
Lattice="3.015 0.000 0.000 0.000 4.324 0.000 0.000 0.000 8.473" Properties=species:S:1:pos:R:3 pbc="T T T"
Mg 0.000 0.000 0.000
Mg 1.507 2.162 4.237
Cr 0.000 2.162 1.964
Cr 0.000 2.162 6.509
Cr 1.507 0.000 2.273
Cr 1.507 0.000 6.200
Tc 0.000 0.000 4.237
Tc 1.507 2.162 0.000
```

Mass density: 6.80 g/cm³
DFT total energy: -7.4708 eV/atom
Symmetry: Immm (71)
Energy relative to the elements: 331 meV/atom
Spin magnetization: 0.0 μB/f.u.

---

(14)
This record from Alexandria via LeMat-Bulk describes SmZnTe after structural relaxation. The functional is PBE.

Cell and atoms, written as extended XYZ:
```
6
Lattice="4.681 0.000 0.000 -2.340 4.054 0.000 0.000 0.000 10.193" Properties=species:S:1:pos:R:3 pbc="T T T"
Sm 0.000 0.000 1.814
Sm 0.000 0.000 8.379
Zn 0.000 2.702 0.132
Zn 2.340 1.351 10.061
Te 0.000 2.702 3.227
Te 2.340 1.351 6.966
```

Mass density: 5.90 g/cm³
DFT total energy: -3.8629 eV/atom
Formation energy without anion corrections: -818 meV per atom
Symmetry: P-3m1 (164)
Spin magnetization: 0.0 μB/f.u.

---

(15)
This record from Alexandria via LeMat-Bulk describes Tb3Pr3NdTe8 after structural relaxation. The functional is PBE.

Cell and atoms, written as extended XYZ:
```
15
Lattice="4.430 2.557 7.272 -4.430 2.557 7.272 0.000 -5.115 7.272" Properties=species:S:1:pos:R:3 pbc="T T T"
Tb -2.215 -1.279 7.272
Tb -2.215 1.279 14.543
Tb 0.000 2.557 7.272
Pr -4.430 0.000 10.908
Pr -2.215 1.279 3.636
Pr 2.215 1.279 3.636
Nd 0.000 0.000 0.000
Te 0.000 0.000 5.543
Te 0.000 -2.438 9.084
Te -2.111 1.219 9.084
Te -2.111 -1.219 12.731
Te 2.111 1.219 9.084
Te 2.111 -1.219 12.731
Te 0.000 2.438 12.731
Te 0.000 0.000 16.272
```

Mass density: 6.94 g/cm³
DFT total energy: -5.3089 eV/atom
Formation energy without anion corrections: -1433 meV per atom
Symmetry: R-3m (166)
Spin magnetization: 0.0 μB/f.u.

---

(16)
This record from Alexandria via LeMat-Bulk describes AcHoNiRh after structural relaxation. The functional is PBE.

Cell and atoms, written as extended XYZ:
```
16
Lattice="7.110 0.000 0.000 0.000 7.110 0.000 0.000 0.000 7.110" Properties=species:S:1:pos:R:3 pbc="T T T"
Ac 0.000 0.000 0.000
Ac 0.000 3.555 3.555
Ac 3.555 0.000 3.555
Ac 3.555 3.555 0.000
Ho 0.000 0.000 3.555
Ho 0.000 3.555 0.000
Ho 3.555 0.000 0.000
Ho 3.555 3.555 3.555
Ni 1.777 1.777 1.777
Ni 1.777 5.332 5.332
Ni 5.332 1.777 5.332
Ni 5.332 5.332 1.777
Rh 1.777 1.777 5.332
Rh 1.777 5.332 1.777
Rh 5.332 1.777 1.777
Rh 5.332 5.332 5.332
```

Mass density: 10.23 g/cm³
DFT total energy: -5.8799 eV/atom
Symmetry: F-43m (216)
Energy relative to the elements: -425 meV/atom
Spin magnetization: 0.0 μB/f.u.

---

(17)
This record from Alexandria via LeMat-Bulk describes IrRuPt after structural relaxation. The functional is PBE.

Cell and atoms, written as extended XYZ:
```
6
Lattice="2.715 0.000 0.000 0.000 2.721 0.000 0.000 0.000 12.791" Properties=species:S:1:pos:R:3 pbc="T T T"
Ir 0.000 0.000 0.000
Ir 1.357 1.360 6.396
Ru 0.000 0.000 4.628
Ru 1.357 1.360 11.023
Pt 0.000 1.360 8.737
Pt 1.357 0.000 2.341
```

Mass density: 17.17 g/cm³
DFT total energy: -7.8476 eV/atom
Symmetry: Imm2 (44)
Energy relative to the elements: 212 meV/atom
Spin magnetization: 0.0 μB/f.u.

---

(18)
This record from Alexandria via LeMat-Bulk describes RhC2 after structural relaxation. The functional is PBE.

Cell and atoms, written as extended XYZ:
```
9
Lattice="5.144 0.000 0.000 -2.572 4.455 0.000 0.000 0.000 4.540" Properties=species:S:1:pos:R:3 pbc="T T T"
Rh 0.000 0.000 0.000
Rh 0.000 2.970 2.270
Rh 2.572 1.485 2.270
C -0.798 1.382 1.235
C -1.774 3.073 3.304
C 1.596 0.000 1.235
C 0.798 1.382 3.304
C 3.548 0.000 3.304
C 1.774 3.073 1.235
```

Mass density: 6.08 g/cm³
DFT total energy: -6.7431 eV/atom
Symmetry: P-31m (162)
Energy relative to the elements: 1857 meV/atom
Spin magnetization: 0.0 μB/f.u.

---

(19)
This record from Alexandria via LeMat-Bulk describes Ca2NbCoBr after structural relaxation. The functional is PBE.

Cell and atoms, written as extended XYZ:
```
5
Lattice="6.018 0.000 0.000 0.000 6.018 0.000 0.000 0.000 4.286" Properties=species:S:1:pos:R:3 pbc="T T T"
Ca 0.000 3.009 0.000
Ca 3.009 0.000 0.000
Nb 0.000 0.000 0.000
Co 0.000 0.000 2.143
Br 3.009 3.009 2.143
```

Mass density: 3.34 g/cm³
DFT total energy: -4.0874 eV/atom
Formation energy without anion corrections: 483 meV per atom
Symmetry: P4/mmm (123)
Spin magnetization: 1.8 μB/f.u.

---

(20)
This record from Alexandria via LeMat-Bulk describes CaHfIn2 after structural relaxation. The functional is PBE.

Cell and atoms, written as extended XYZ:
```
4
Lattice="5.406 0.000 0.000 0.000 5.406 0.000 0.000 0.000 3.315" Properties=species:S:1:pos:R:3 pbc="T T T"
Ca 0.000 0.000 0.000
Hf 2.703 2.703 0.000
In 0.000 2.703 1.658
In 2.703 0.000 1.658
```

Mass density: 7.68 g/cm³
DFT total energy: -4.5122 eV/atom
Symmetry: P4/mmm (123)
Energy relative to the elements: -154 meV/atom
Spin magnetization: 0.0 μB/f.u.